Computed, not measured: ScMnNO2 after structural relaxation at the PBE with a Hubbard U level of DFT.

Results
* D(E_F): 1.623 states/eV/cell
* DFT total energy: -7.29 eV per atom

```
data_ScMnNO2
_space_group_name_H-M_alt 'P 4/m m m'
_space_group_IT_number 123
_space_group_name_Hall '-P 4 2'
_cell_length_a 4.040
_cell_length_b 4.040
_cell_length_c 4.211
_cell_angle_alpha 90.00
_cell_angle_beta 90.00
_cell_angle_gamma 90.00
loop_
_atom_site_label
_atom_site_fract_x
_atom_site_fract_y
_atom_site_fract_z
Sc1 0.000 0.000 0.000
Mn1 0.500 0.500 0.500
N1 0.000 0.000 0.500
O1 0.000 0.500 0.000
```